(1)
The following is a DFT calculation (PBE) of an optimized crystal structure of KTbNd2Te4.

The structure in extended XYZ format:
```
8
Lattice="-0.0470 -2.5870 -3.6554 4.2937 -5.4381 3.7933 -4.9354 -5.0235 3.6186" Properties=species:S:1:pos:R:3 pbc="T T T"
K -0.3209 -5.2308 3.7060
Tb 2.1233 -4.0125 0.0690
Nd -4.9354 -5.0235 3.6186
Nd -2.4912 -3.8052 -0.0184
Te -0.5492 -7.8781 5.5824
Te -0.1395 -5.1705 -1.8258
Te 2.0592 -6.5950 1.8974
Te -2.7479 -6.4536 1.8592
```

Calculated values
**SG**: P2/m, No. 10
**ΔE_f (raw)**: -1.356 eV/atom
**Density of states at the Fermi level**: 3.3 states/eV/cell

=====

(2)
The following is a DFT calculation (PBE) of an optimized crystal structure of SmYPbSe.

The structure in extended XYZ format:
```
4
Lattice="-2.9738 2.2629 2.1644 1.4730 -1.6256 3.7235 3.9425 4.7070 0.4957" Properties=species:S:1:pos:R:3 pbc="T T T"
Sm 3.6483 1.3375 3.6144
Y -0.5448 0.9320 2.5851
Pb 1.6761 -1.0148 3.3639
Se 1.4268 3.2842 2.8348
```

Calculated values
**SG**: P4/mmm, No. 123
**ΔE_f (raw)**: -1.164 eV/atom
**Density of states at the Fermi level**: 1.1 states/eV/cell

=====

(3)
The following is a DFT calculation (PBE) of an optimized crystal structure of KOs2W.

The structure in extended XYZ format:
```
8
Lattice="-0.9573 1.2684 -7.2967 -2.4313 -7.0034 -0.8985 -4.4621 -1.9732 -3.5790" Properties=species:S:1:pos:R:3 pbc="T T T"
K -1.6943 -2.8675 -4.0976
K -4.2939 -5.9221 -4.2875
Os -2.0732 -0.5026 -5.9898
Os -2.6994 -4.7853 -1.9461
Os -4.4766 -3.2252 -5.7054
Os -6.4523 -6.9034 -9.9070
W 0.0000 0.0000 0.0000
W -3.5569 -1.7861 -7.4866
```

Calculated values
**ΔE to the lowest computed polymorph**: 0.891 eV/atom
**SG**: I-42d, No. 122
**Density of states at the Fermi level**: 7.8 states/eV/cell
**E_form**: 1.58 eV/atom

=====

(4)
The following is a DFT calculation (PBE) of an optimized crystal structure of LaCe2Y6Tm3.

The structure in extended XYZ format:
```
12
Lattice="-4.2028 0.3976 4.4901 3.4744 -5.0628 -0.5296 8.1903 6.2761 5.6992" Properties=species:S:1:pos:R:3 pbc="T T T"
La 0.0000 0.0000 0.0000
Ce 0.9160 -3.2431 1.1432
Ce -1.6444 -1.4220 2.8173
Y 4.2891 2.1243 8.0648
Y 1.5211 -1.9080 4.4018
Y 3.1728 -0.5133 1.5949
Y 6.8701 0.2886 6.3772
Y 5.9408 3.5190 5.2580
Y 0.5918 1.3224 3.2826
Tm 6.2906 -1.0151 3.1562
Tm 1.1713 2.6260 6.5035
Tm 3.7309 0.8055 4.8299
```

Calculated values
**SG**: C2/m, No. 12
**Density of states at the Fermi level**: 24.4 states/eV/cell
**E_form**: 0.06 eV/atom